The following is a PBE-GGA calculation of an optimized crystal structure of KSi2GeTe6, from Alexandria via LeMat-Bulk.

abc: 10.5696 10.5696 7.7844
angles: 107.29 107.29 88.12
Fractional positions:
1 K 0.1597 0.8403 0.7500
2 K 0.8403 0.1597 0.2500
3 Si 0.2183 0.3582 0.8165
4 Si 0.3582 0.2183 0.3165
5 Si 0.6418 0.7817 0.6835
6 Si 0.7817 0.6418 0.1835
7 Ge 0.2114 0.7886 0.2500
8 Ge 0.7886 0.2114 0.7500
9 Te 0.0395 0.1699 0.6984
10 Te 0.1192 0.5790 0.9104
11 Te 0.1699 0.0395 0.1984
12 Te 0.2948 0.4137 0.5582
13 Te 0.4137 0.2948 0.0582
14 Te 0.4210 0.8808 0.5896
15 Te 0.5790 0.1192 0.4104
16 Te 0.5863 0.7052 0.9418
17 Te 0.7052 0.5863 0.4418
18 Te 0.8301 0.9605 0.8016
19 Te 0.8808 0.4210 0.0896
20 Te 0.9605 0.8301 0.3016

Computed properties:
- E_tot: -3.6406 eV per atom
- Total magnetization: 0.00 μB per cell
- Symmetry: C2/c (15)
- Raw formation energy: -100 meV per atom


The following is a PBE-GGA calculation of an optimized crystal structure of Sb5Te3Au12, from Alexandria via LeMat-Bulk.

abc: 14.0182 14.0182 14.0182
angles: 109.47 109.47 109.47
Fractional positions:
1 Sb 0.0000 0.0000 0.0000
2 Sb 0.0000 0.0000 0.5000
3 Sb 0.0000 0.5000 0.0000
4 Sb 0.0000 0.5000 0.5000
5 Sb 0.1250 0.7500 0.8750
6 Sb 0.1250 0.8750 0.2500
7 Sb 0.2500 0.1250 0.8750
8 Sb 0.2500 0.6250 0.3750
9 Sb 0.3750 0.2500 0.6250
10 Sb 0.3750 0.6250 0.7500
11 Sb 0.5000 0.0000 0.0000
12 Sb 0.5000 0.0000 0.5000
13 Sb 0.5000 0.5000 0.0000
14 Sb 0.5000 0.5000 0.5000
15 Sb 0.6250 0.3750 0.2500
16 Sb 0.6250 0.7500 0.3750
17 Sb 0.7500 0.3750 0.6250
18 Sb 0.7500 0.8750 0.1250
19 Sb 0.8750 0.1250 0.7500
20 Sb 0.8750 0.2500 0.1250
21 Te 0.1250 0.2500 0.3750
22 Te 0.1250 0.3750 0.7500
23 Te 0.2500 0.3750 0.1250
24 Te 0.2500 0.8750 0.6250
25 Te 0.3750 0.1250 0.2500
26 Te 0.3750 0.7500 0.1250
27 Te 0.6250 0.2500 0.8750
28 Te 0.6250 0.8750 0.7500
29 Te 0.7500 0.1250 0.3750
30 Te 0.7500 0.6250 0.8750
31 Te 0.8750 0.6250 0.2500
32 Te 0.8750 0.7500 0.6250
33 Au 0.0613 0.2288 0.1387
34 Au 0.0613 0.3325 0.9226
35 Au 0.0774 0.6387 0.4099
36 Au 0.0774 0.9387 0.6675
37 Au 0.0901 0.7288 0.6675
38 Au 0.0901 0.8613 0.4226
39 Au 0.1387 0.0613 0.2288
40 Au 0.1387 0.5774 0.9099
41 Au 0.1675 0.2288 0.5901
42 Au 0.1675 0.4387 0.5774
43 Au 0.2288 0.1387 0.0613
44 Au 0.2288 0.5901 0.1675
45 Au 0.2712 0.3325 0.9099
46 Au 0.2712 0.4387 0.3613
47 Au 0.3325 0.9099 0.2712
48 Au 0.3325 0.9226 0.0613
49 Au 0.3613 0.2712 0.4387
50 Au 0.3613 0.5901 0.9226
51 Au 0.4099 0.0774 0.6387
52 Au 0.4099 0.8325 0.7712
53 Au 0.4226 0.0901 0.8613
54 Au 0.4226 0.8325 0.5613
55 Au 0.4387 0.3613 0.2712
56 Au 0.4387 0.5774 0.1675
57 Au 0.5613 0.4226 0.8325
58 Au 0.5613 0.6387 0.7288
59 Au 0.5774 0.1675 0.4387
60 Au 0.5774 0.9099 0.1387
61 Au 0.5901 0.1675 0.2288
62 Au 0.5901 0.9226 0.3613
63 Au 0.6387 0.4099 0.0774
64 Au 0.6387 0.7288 0.5613
65 Au 0.6675 0.0774 0.9387
66 Au 0.6675 0.0901 0.7288
67 Au 0.7288 0.5613 0.6387
68 Au 0.7288 0.6675 0.0901
69 Au 0.7712 0.4099 0.8325
70 Au 0.7712 0.8613 0.9387
71 Au 0.8325 0.5613 0.4226
72 Au 0.8325 0.7712 0.4099
73 Au 0.8613 0.4226 0.0901
74 Au 0.8613 0.9387 0.7712
75 Au 0.9099 0.1387 0.5774
76 Au 0.9099 0.2712 0.3325
77 Au 0.9226 0.0613 0.3325
78 Au 0.9226 0.3613 0.5901
79 Au 0.9387 0.6675 0.0774
80 Au 0.9387 0.7712 0.8613

Computed properties:
- E_tot: -3.3880 eV per atom
- Total magnetization: 0.00 μB per cell
- Symmetry: Ia-3d (230)
- Raw formation energy: 80 meV per atom


The following is a PBE-GGA calculation of an optimized crystal structure of YHoZnPt, from Alexandria via LeMat-Bulk.

abc: 4.4534 3.8113 10.6938
angles: 90.00 90.00 90.00
Fractional positions:
1 Y 0.0000 0.0000 0.0000
2 Y 0.0000 0.5000 0.5000
3 Ho 0.5000 0.0000 0.7187
4 Ho 0.5000 0.5000 0.2187
5 Zn 0.5000 0.0000 0.4351
6 Zn 0.5000 0.5000 0.9351
7 Pt 0.0000 0.0000 0.2826
8 Pt 0.0000 0.5000 0.7826

Computed properties:
- ΔE_f: -827 meV per atom
- E_tot: -5.4159 eV per atom
- Total magnetization: 0.00 μB per cell
- Symmetry: Amm2 (38)


The following is a PBE-GGA calculation of an optimized crystal structure of Cr2InBr, from Alexandria via LeMat-Bulk.

abc: 6.8809 6.8809 6.8809
angles: 90.00 90.00 90.00
Fractional positions:
1 Cr 0.2500 0.2500 0.2500
2 Cr 0.2500 0.2500 0.7500
3 Cr 0.2500 0.7500 0.2500
4 Cr 0.2500 0.7500 0.7500
5 Cr 0.7500 0.2500 0.2500
6 Cr 0.7500 0.2500 0.7500
7 Cr 0.7500 0.7500 0.2500
8 Cr 0.7500 0.7500 0.7500
9 In 0.0000 0.0000 0.0000
10 In 0.0000 0.5000 0.5000
11 In 0.5000 0.0000 0.5000
12 In 0.5000 0.5000 0.0000
13 Br 0.0000 0.0000 0.5000
14 Br 0.0000 0.5000 0.0000
15 Br 0.5000 0.0000 0.0000
16 Br 0.5000 0.5000 0.5000

Computed properties:
- E_tot: -5.2155 eV per atom
- Total magnetization: 32.00 μB per cell
- Symmetry: Fm-3m (225)
- Raw formation energy: 699 meV per atom


The following is a PBE-GGA calculation of an optimized crystal structure of Sr2ScTc, from Alexandria via LeMat-Bulk.

abc: 3.6395 3.6600 9.2288
angles: 90.00 90.00 90.00
Fractional positions:
1 Sr 0.0000 0.0000 0.0000
2 Sr 0.5000 0.5000 0.3841
3 Sc 0.5000 0.5000 0.7297
4 Tc 0.0000 0.0000 0.6240

Computed properties:
- ΔE_f: 261 meV per atom
- E_tot: -4.7543 eV per atom
- Total magnetization: 0.13 μB per cell
- Symmetry: Pmm2 (25)


The following is a PBE-GGA calculation of an optimized crystal structure of TbZnAu3, from Alexandria via LeMat-Bulk.

abc: 8.7321 4.4121 10.5531
angles: 90.00 90.00 90.00
Fractional positions:
1 Tb 0.2001 0.2500 0.0001
2 Tb 0.2999 0.7500 0.5001
3 Tb 0.7001 0.2500 0.4999
4 Tb 0.7999 0.7500 0.9999
5 Zn 0.1137 0.2500 0.3482
6 Zn 0.3863 0.7500 0.8482
7 Zn 0.6137 0.2500 0.1518
8 Zn 0.8863 0.7500 0.6518
9 Au 0.0599 0.2500 0.5916
10 Au 0.0901 0.7500 0.8319
11 Au 0.1444 0.7500 0.1959
12 Au 0.3556 0.2500 0.6959
13 Au 0.4099 0.2500 0.3319
14 Au 0.4401 0.7500 0.0916
15 Au 0.5599 0.2500 0.9084
16 Au 0.5901 0.7500 0.6681
17 Au 0.6444 0.7500 0.3041
18 Au 0.8556 0.2500 0.8041
19 Au 0.9099 0.2500 0.1681
20 Au 0.9401 0.7500 0.4084

Computed properties:
- ΔE_f: -543 meV per atom
- E_tot: -3.6900 eV per atom
- Total magnetization: 0.00 μB per cell
- Symmetry: Pnma (62)


The following is a PBE-GGA calculation of an optimized crystal structure of Gd2CuTe2S2O14, from Alexandria via LeMat-Bulk.

abc: 5.2461 8.0193 8.2964
angles: 61.51 74.67 85.44
Fractional positions:
1 Gd 0.0656 0.2508 0.0194
2 Gd 0.9344 0.7492 0.9806
3 Cu 0.0000 0.0000 0.5000
4 Te 0.4921 0.7320 0.6499
5 Te 0.5079 0.2680 0.3501
6 S 0.2622 0.7438 0.2523
7 S 0.7378 0.2562 0.7477
8 O 0.1536 0.7381 0.4372
9 O 0.1568 0.5824 0.2417
10 O 0.1757 0.9175 0.0976
11 O 0.2547 0.5625 0.8852
12 O 0.2561 0.9320 0.6529
13 O 0.2676 0.1854 0.2598
14 O 0.4446 0.2585 0.7877
15 O 0.5554 0.7415 0.2123
16 O 0.7324 0.8146 0.7402
17 O 0.7439 0.0680 0.3471
18 O 0.7453 0.4375 0.1148
19 O 0.8243 0.0825 0.9024
20 O 0.8432 0.4176 0.7583
21 O 0.8464 0.2619 0.5628

Computed properties:
- E_tot: -7.3315 eV per atom
- Total magnetization: 14.99 μB per cell
- Symmetry: P-1 (2)
- Raw formation energy: -1798 meV per atom


The following is a PBE-GGA calculation of an optimized crystal structure of Nd2InRu, from Alexandria via LeMat-Bulk.

abc: 3.4608 3.4608 8.6638
angles: 90.00 90.00 90.00
Fractional positions:
1 Nd 0.0000 0.0000 0.2030
2 Nd 0.0000 0.0000 0.7970
3 In 0.5000 0.5000 0.5000
4 Ru 0.5000 0.5000 0.0000

Computed properties:
- ΔE_f: -303 meV per atom
- E_tot: -5.6904 eV per atom
- Total magnetization: 0.00 μB per cell
- Symmetry: P4/mmm (123)


The following is a PBE-GGA calculation of an optimized crystal structure of Er8Te4Au3Se, from Alexandria via LeMat-Bulk.

abc: 8.6597 8.6597 8.6597
angles: 57.60 57.60 57.60
Fractional positions:
1 Er 0.2382 0.7442 0.7442
2 Er 0.2404 0.2404 0.2404
3 Er 0.2558 0.2558 0.7618
4 Er 0.2558 0.7618 0.2558
5 Er 0.7442 0.2382 0.7442
6 Er 0.7442 0.7442 0.2382
7 Er 0.7596 0.7596 0.7596
8 Er 0.7618 0.2558 0.2558
9 Te 0.0000 0.0000 0.0000
10 Te 0.0000 0.5000 0.5000
11 Te 0.5000 0.0000 0.5000
12 Te 0.5000 0.5000 0.0000
13 Au 0.0000 0.0000 0.5000
14 Au 0.0000 0.5000 0.0000
15 Au 0.5000 0.0000 0.0000
16 Se 0.5000 0.5000 0.5000

Computed properties:
- E_tot: -5.0414 eV per atom
- Total magnetization: 0.00 μB per cell
- Symmetry: R-3m (166)
- Raw formation energy: -1142 meV per atom


The following is a PBE-GGA calculation of an optimized crystal structure of SrSeCl, from Alexandria via LeMat-Bulk.

abc: 8.5430 8.5430 7.8935
angles: 90.00 90.00 142.74
Fractional positions:
1 Sr 0.1298 0.8702 0.9599
2 Sr 0.3702 0.6298 0.4599
3 Sr 0.6298 0.3702 0.5401
4 Sr 0.8702 0.1298 0.0401
5 Se 0.2307 0.2693 0.7500
6 Se 0.2693 0.2307 0.2500
7 Se 0.7307 0.7693 0.7500
8 Se 0.7693 0.7307 0.2500
9 Cl 0.1991 0.8009 0.6032
10 Cl 0.3009 0.6991 0.1032
11 Cl 0.6991 0.3009 0.8968
12 Cl 0.8009 0.1991 0.3968

Computed properties:
- E_tot: -4.2425 eV per atom
- Total magnetization: 0.00 μB per cell
- Symmetry: Cmce (64)
- Raw formation energy: -1905 meV per atom


The following is a PBE-GGA calculation of an optimized crystal structure of AcNpIn4, from Alexandria via LeMat-Bulk.

abc: 6.1717 6.1717 6.1717
angles: 60.00 60.00 60.00
Fractional positions:
1 Ac 0.0000 0.0000 0.0000
2 Np 0.2500 0.2500 0.2500
3 In 0.1263 0.6246 0.6246
4 In 0.6246 0.1263 0.6246
5 In 0.6246 0.6246 0.1263
6 In 0.6246 0.6246 0.6246

Computed properties:
- ΔE_f: -75 meV per atom
- E_tot: -4.7419 eV per atom
- Total magnetization: 5.12 μB per cell
- Symmetry: F-43m (216)


The following is a PBE-GGA calculation of an optimized crystal structure of MgMnHRh2, from Alexandria via LeMat-Bulk.

abc: 4.0683 4.0683 3.6727
angles: 90.00 90.00 90.00
Fractional positions:
1 Mg 0.0000 0.0000 0.0000
2 Mn 0.5000 0.5000 0.0000
3 H 0.5000 0.5000 0.5000
4 Rh 0.0000 0.5000 0.5000
5 Rh 0.5000 0.0000 0.5000

Computed properties:
- E_tot: -6.0223 eV per atom
- Total magnetization: 3.96 μB per cell
- Symmetry: P4/mmm (123)


The following is a PBE-GGA calculation of an optimized crystal structure of InCoRe2, from Alexandria via LeMat-Bulk.

abc: 2.7527 4.4026 10.2253
angles: 90.00 90.00 90.00
Fractional positions:
1 In 0.0000 0.0000 0.0000
2 In 0.5000 0.5000 0.5000
3 Co 0.0000 0.0000 0.5000
4 Co 0.5000 0.5000 0.0000
5 Re 0.0000 0.5000 0.2096
6 Re 0.0000 0.5000 0.7904
7 Re 0.5000 0.0000 0.2904
8 Re 0.5000 0.0000 0.7096

Computed properties:
- ΔE_f: 341 meV per atom
- E_tot: -8.3443 eV per atom
- Total magnetization: 0.00 μB per cell
- Symmetry: Immm (71)


The following is a PBE-GGA calculation of an optimized crystal structure of Na3Ac3TlO8, from Alexandria via LeMat-Bulk.

abc: 7.0378 7.0378 7.0378
angles: 64.44 64.44 64.44
Fractional positions:
1 Na 0.0000 0.5000 0.5000
2 Na 0.5000 0.0000 0.5000
3 Na 0.5000 0.5000 0.0000
4 Ac 0.0000 0.0000 0.5000
5 Ac 0.0000 0.5000 0.0000
6 Ac 0.5000 0.0000 0.0000
7 Tl 0.5000 0.5000 0.5000
8 O 0.2382 0.2382 0.2382
9 O 0.2664 0.7260 0.7260
10 O 0.2740 0.2740 0.7336
11 O 0.2740 0.7336 0.2740
12 O 0.7260 0.2664 0.7260
13 O 0.7260 0.7260 0.2664
14 O 0.7336 0.2740 0.2740
15 O 0.7618 0.7618 0.7618

Computed properties:
- E_tot: -5.9590 eV per atom
- Total magnetization: 1.11 μB per cell
- Symmetry: R-3m (166)
- Raw formation energy: -2071 meV per atom


The following is a PBE-GGA calculation of an optimized crystal structure of CsRb2CdBi, from Alexandria via LeMat-Bulk.

abc: 6.9823 6.9823 5.9807
angles: 90.00 90.00 90.00
Fractional positions:
1 Cs 0.0000 0.0000 0.0000
2 Rb 0.0000 0.5000 0.5000
3 Rb 0.5000 0.0000 0.5000
4 Cd 0.5000 0.5000 0.5000
5 Bi 0.5000 0.5000 0.0000

Computed properties:
- ΔE_f: -88 meV per atom
- E_tot: -1.6054 eV per atom
- Total magnetization: 0.76 μB per cell
- Symmetry: P4/mmm (123)


The following is a PBE-GGA calculation of an optimized crystal structure of Pm3BeIr3, from Alexandria via LeMat-Bulk.

abc: 5.7820 5.7820 14.2197
angles: 109.80 109.80 41.78
Fractional positions:
1 Pm 0.0248 0.0248 0.3859
2 Pm 0.1073 0.1073 0.9225
3 Pm 0.2479 0.2479 0.2318
4 Pm 0.7521 0.7521 0.7682
5 Pm 0.8927 0.8927 0.0775
6 Pm 0.9752 0.9752 0.6141
7 Be 0.2674 0.2674 0.6035
8 Be 0.7326 0.7326 0.3965
9 Ir 0.3207 0.3207 0.4569
10 Ir 0.3810 0.3810 0.9197
11 Ir 0.4586 0.4586 0.7582
12 Ir 0.5414 0.5414 0.2418
13 Ir 0.6190 0.6190 0.0803
14 Ir 0.6793 0.6793 0.5431

Computed properties:
- ΔE_f: -617 meV per atom
- E_tot: -6.9830 eV per atom
- Total magnetization: 0.00 μB per cell
- Symmetry: C2/m (12)


The following is a PBE-GGA calculation of an optimized crystal structure of Tm3InGa, from Alexandria via LeMat-Bulk.

abc: 7.7142 7.7142 5.2995
angles: 90.00 90.00 120.00
Fractional positions:
1 Tm 0.1884 0.3769 0.2500
2 Tm 0.1884 0.8116 0.2500
3 Tm 0.3769 0.1884 0.7500
4 Tm 0.6231 0.8116 0.2500
5 Tm 0.8116 0.1884 0.7500
6 Tm 0.8116 0.6231 0.7500
7 In 0.3333 0.6667 0.7500
8 In 0.6667 0.3333 0.2500
9 Ga 0.0000 0.0000 0.0000
10 Ga 0.0000 0.0000 0.5000

Computed properties:
- ΔE_f: -249 meV per atom
- E_tot: -4.0845 eV per atom
- Total magnetization: 0.00 μB per cell
- Symmetry: P6_3/mmc (194)


The following is a PBE-GGA calculation of an optimized crystal structure of ErMnRu, from Alexandria via LeMat-Bulk.

abc: 6.3862 5.2164 4.9952
angles: 77.39 52.86 49.76
Fractional positions:
1 Er 0.1571 0.8429 0.1571
2 Er 0.8429 0.1571 0.8429
3 Mn 0.2500 0.2500 0.2500
4 Mn 0.7500 0.7500 0.7500
5 Ru 0.3454 0.3454 0.6546
6 Ru 0.6546 0.6546 0.3454

Computed properties:
- ΔE_f: 226 meV per atom
- E_tot: -7.4436 eV per atom
- Total magnetization: 0.00 μB per cell
- Symmetry: Fmmm (69)


The following is a PBE-GGA calculation of an optimized crystal structure of CuSbAsI2, from Alexandria via LeMat-Bulk.

abc: 5.5693 5.5693 5.4965
angles: 90.00 90.00 90.00
Fractional positions:
1 Cu 0.0000 0.0000 0.0000
2 Sb 0.5000 0.5000 0.0000
3 As 0.5000 0.5000 0.5000
4 I 0.0000 0.5000 0.5000
5 I 0.5000 0.0000 0.5000

Computed properties:
- E_tot: -2.4201 eV per atom
- Total magnetization: 0.97 μB per cell
- Symmetry: P4/mmm (123)
- Raw formation energy: 774 meV per atom